First-principles (PBE) data for a relaxed AcSm2Mn crystal, as listed in Alexandria via LeMat-Bulk.

Energy of formation in eV/atom: 0.608
Polymorph energy (0 for the lowest one) in meV/atom: 433
SG: R-3m (166)

Cell lengths 3.5895, 3.5895, 35.5415 Å; angles 90.00, 90.00, 120.00 degrees
Sites, in units of the cell vectors:
Ac (0.0000, 0.0000, 0.0000)
Ac (0.3333, 0.6667, 0.6667)
Ac (0.6667, 0.3333, 0.3333)
Sm (0.0000, 0.0000, 0.4201)
Sm (0.0000, 0.0000, 0.5799)
Sm (0.3333, 0.6667, 0.0868)
Sm (0.3333, 0.6667, 0.2466)
Sm (0.6667, 0.3333, 0.7534)
Sm (0.6667, 0.3333, 0.9132)
Mn (0.0000, 0.0000, 0.5000)
Mn (0.3333, 0.6667, 0.1667)
Mn (0.6667, 0.3333, 0.8333)

***

First-principles (PBE) data for a relaxed Ac2SmMnTe5 crystal, as listed in Alexandria via LeMat-Bulk.

SG: Cmc2_1 (36)
Formation energy from raw total energies in eV per formula unit: -11.3

Cell lengths 9.8752, 9.8752, 13.7369 Å; angles 90.00, 90.00, 153.64 degrees
Sites, in units of the cell vectors:
Ac (0.1180, 0.8820, 0.5000)
Ac (0.1231, 0.8769, 0.8539)
Ac (0.8769, 0.1231, 0.3539)
Ac (0.8820, 0.1180, 0.0000)
Sm (0.1793, 0.8207, 0.1791)
Sm (0.8207, 0.1793, 0.6791)
Mn (0.4412, 0.5588, 0.5872)
Mn (0.5588, 0.4412, 0.0872)
Te (0.0171, 0.9829, 0.1786)
Te (0.3045, 0.6955, 0.8411)
Te (0.3066, 0.6934, 0.5173)
Te (0.3436, 0.6564, 0.1755)
Te (0.4980, 0.5020, 0.9123)
Te (0.5020, 0.4980, 0.4123)
Te (0.6564, 0.3436, 0.6755)
Te (0.6934, 0.3066, 0.0173)
Te (0.6955, 0.3045, 0.3411)
Te (0.9829, 0.0171, 0.6786)

***

| no. | VASP energy (eV for the cell shown) |
| --- | --- |
| 1 | -60.85 |
| 2 | -98.26 |